Density functional theory data (PBE) for a relaxed structure of Ir2Os.

Output
formation energy = 0 meV per atom
energy relative to the lowest polymorph listed for this composition = 0.002 eV per atom
space group = No. 139

a b c (Å): 6.121 6.121 6.121
angles (deg): 154.20 154.20 36.81
Fractional coordinates of all 3 atoms:
Ir1 0.671 0.671 0.000
Ir2 0.996 0.996 0.000
Os1 0.333 0.333 0.000



Density functional theory data (PBE) for a relaxed structure of Ir2Os.

Output
formation energy = 373 meV per atom
energy relative to the lowest polymorph listed for this composition = 0.375 eV per atom
space group = No. 194

a b c (Å): 4.366 4.366 5.416
angles (deg): 90.00 90.00 120.00
Fractional coordinates of all 6 atoms:
Ir1 0.000 0.000 0.000
Ir2 0.333 0.667 0.250
Ir3 0.000 0.000 0.500
Ir4 0.667 0.333 0.750
Os1 0.667 0.333 0.250
Os2 0.333 0.667 0.750



Density functional theory data (PBE) for a relaxed structure of IrOs4.

Output
formation energy = 2894 meV per atom
energy relative to the lowest polymorph listed for this composition = 2.802 eV per atom
space group = No. 221

a b c (Å): 4.627 4.627 4.627
angles (deg): 90.00 90.00 90.00
Fractional coordinates of all 5 atoms:
Os1 0.000 0.000 0.000
Os2 0.500 0.500 0.000
Os3 0.500 0.000 0.500
Os4 0.000 0.500 0.500
Ir1 0.500 0.500 0.500



Density functional theory data (PBE) for a relaxed structure of IrOs2.

Output
formation energy = 144 meV per atom
energy relative to the lowest polymorph listed for this composition = 0.146 eV per atom
space group = No. 189

a b c (Å): 7.432 7.432 2.726
angles (deg): 90.00 90.00 120.00
Fractional coordinates of all 9 atoms:
Ir1 0.000 0.000 0.500
Ir2 0.333 0.667 0.000
Ir3 0.667 0.333 0.000
Os1 0.360 0.360 0.500
Os2 0.000 0.640 0.500
Os3 0.697 0.697 0.000
Os4 0.303 0.000 0.000
Os5 0.000 0.303 0.000
Os6 0.640 0.000 0.500



Density functional theory data (PBE) for a relaxed structure of IrOs5.

Output
formation energy = 105 meV per atom
energy relative to the lowest polymorph listed for this composition = 0.121 eV per atom
space group = No. 65

a b c (Å): 3.863 3.863 6.090
angles (deg): 108.49 90.00 90.00
Fractional coordinates of all 6 atoms:
Os1 0.500 0.500 0.000
Os2 0.500 0.833 0.665
Os3 0.000 0.668 0.336
Os4 0.000 0.332 0.664
Os5 0.500 0.167 0.335
Ir1 0.000 0.000 0.000



Density functional theory data (PBE) for a relaxed structure of IrOs2.

Output
formation energy = 528 meV per atom
energy relative to the lowest polymorph listed for this composition = 0.530 eV per atom
space group = No. 74

a b c (Å): 2.698 3.980 17.725
angles (deg): 90.00 90.00 90.00
Fractional coordinates of all 12 atoms:
Os1 0.000 0.250 0.040
Os2 0.500 0.750 0.689
Os3 0.000 0.250 0.189
Os4 0.500 0.250 0.311
Os5 0.500 0.750 0.540
Os6 0.000 0.750 0.960
Os7 0.000 0.750 0.811
Os8 0.500 0.250 0.460
Ir1 0.500 0.250 0.876
Ir2 0.500 0.750 0.124
Ir3 0.000 0.250 0.624
Ir4 0.000 0.750 0.376



Density functional theory data (PBE) for a relaxed structure of IrOs.

Output
formation energy = 1309 meV per atom
space group = No. 225

a b c (Å): 3.629 3.629 3.629
angles (deg): 60.00 60.00 60.00
Fractional coordinates of all 2 atoms:
Os1 0.500 0.500 0.500
Ir1 0.000 0.000 0.000



Density functional theory data (PBE) for a relaxed structure of IrOs2.

Output
formation energy = 71 meV per atom
energy relative to the lowest polymorph listed for this composition = 0.073 eV per atom
space group = No. 63

a b c (Å): 3.867 6.080 3.870
angles (deg): 90.00 90.00 71.46
Fractional coordinates of all 6 atoms:
Ir1 0.916 0.168 0.250
Ir2 0.084 0.832 0.750
Os1 0.586 0.829 0.250
Os2 0.751 0.497 0.750
Os3 0.414 0.171 0.750
Os4 0.249 0.503 0.250